First-principles (GGA-PBE) data for an optimized crystal structure of NaTbAgSb, as listed in the Alexandria database.

Computed properties:
- ΔE_f (raw): -0.451 eV/atom
- DOS(E_F): 1.59 states/eV/f.u.
- Calculated volume: 24.856 Å³ per atom
- Final energy: -3.6814 eV per atom
- ρ: 6.9 g/cm³

Cell lengths 5.2000, 5.2000, 5.2000 Å; angles 60.00, 60.00, 60.00 degrees
Last column: nearest neighbours and their distance in Å.
Atoms (fractional coordinates):
Na1 0.0000 0.0000 0.0000  4 Sb 3.18, 4 Ag 3.18
Tb1 0.5000 0.5000 0.5000  4 Sb 3.18, 4 Ag 3.18
Ag1 0.2500 0.2500 0.2500  4 Tb 3.18, 4 Na 3.18
Sb1 0.7500 0.7500 0.7500  4 Tb 3.18, 4 Na 3.18